DFT (GGA-PBE) results for a geometry-optimized La2NdAl2 structure.

Values from the calculation:
**Energy relative to the elements**: -0.1855 eV/atom
**Fermi-level density of states**: 1.26 states/eV/atom
**Energy above the most stable polymorph in this dataset**: 115 meV/atom

Cell: 12.452 3.864 6.330 Å, 90.00 100.04 90.00°
Space group C2/m (No. 12)
Unique sites:
La (0.130, 0.000, 0.073) [4 per cell]
Nd (0.000, 0.500, 0.500) [2 per cell]
Al (0.209, 0.000, 0.608) [4 per cell]